Record 1
Below is crystalline YGaCoCu at its relaxed geometry, with properties calculated at the GGA-PBE level.

Lattice parameters (Å, degrees): 4.494 4.494 4.494 60.00 60.00 60.00
Fractional positions:
Co  0.750  0.750  0.750
Cu  0.250  0.250  0.250
Ga  0.000  0.000  0.000
Y  0.500  0.500  0.500

## Properties
Calculated total energy = -5.266 eV per atom
M_tot = 0.5 μB per cell


Record 2
Below is crystalline YTm2In3CuGe2 at its relaxed geometry, with properties calculated at the GGA-PBE level.

Lattice parameters (Å, degrees): 4.194 7.369 7.369 120.09 90.00 90.00
Fractional positions:
Cu  0.000  0.003  0.003
Ge  0.500  0.667  0.331
Ge  0.500  0.331  0.667
In  0.500  0.757  0.000
In  0.500  0.243  0.243
In  0.500  0.000  0.757
Tm  0.000  0.999  0.403
Tm  0.000  0.403  0.999
Y  0.000  0.596  0.596

## Properties
Calculated total energy = -4.588 eV per atom
M_tot = 0.0 μB per cell


Record 3
Below is crystalline ThZrIn at its relaxed geometry, with properties calculated at the GGA-PBE level.

Lattice parameters (Å, degrees): 5.058 5.058 5.058 60.00 60.00 60.00
Fractional positions:
In  0.000  0.000  0.000
Th  0.250  0.250  0.250
Zr  0.750  0.750  0.750

## Properties
Calculated total energy = -5.971 eV per atom
M_tot = 0.0 μB per cell


Record 4
Below is crystalline GdPdO3 at its relaxed geometry, with properties calculated at the GGA-PBE level.

Lattice parameters (Å, degrees): 5.707 5.707 5.707 124.48 83.66 122.98
Fractional positions:
Gd  0.771  0.521  0.250
Gd  0.229  0.479  0.750
O  0.168  0.500  0.168
O  0.358  0.108  0.250
O  0.832  0.000  0.332
O  0.168  0.000  0.668
O  0.642  0.892  0.750
O  0.832  0.500  0.832
Pd  0.000  0.000  0.000
Pd  0.500  0.000  0.500

## Properties
Calculated total energy = -6.825 eV per atom
M_tot = 0.0 μB per cell


Record 5
Below is crystalline AcPaSn at its relaxed geometry, with properties calculated at the GGA-PBE level.

Lattice parameters (Å, degrees): 5.358 5.358 5.358 60.00 60.00 60.00
Last column: magnetic moment on the atom in μB.
Fractional positions:
Ac  0.000  0.000  0.000  0.14
Pa  0.500  0.500  0.500  1.31
Sn  0.750  0.750  0.750  -0.04

## Properties
Calculated total energy = -5.590 eV per atom
M_tot = 1.9 μB per cell


Record 6
Below is crystalline BaLuZnTe3 at its relaxed geometry, with properties calculated at the GGA-PBE level.

Lattice parameters (Å, degrees): 7.705 7.705 11.250 90.00 90.00 144.57
Fractional positions:
Ba  0.758  0.242  0.250
Ba  0.242  0.758  0.750
Lu  0.000  0.000  0.000
Lu  0.000  0.000  0.500
Te  0.367  0.633  0.057
Te  0.076  0.924  0.250
Te  0.367  0.633  0.443
Te  0.633  0.367  0.557
Te  0.924  0.076  0.750
Te  0.633  0.367  0.943
Zn  0.483  0.517  0.250
Zn  0.517  0.483  0.750

## Properties
Calculated total energy = -3.936 eV per atom
M_tot = 0.0 μB per cell


Record 7
Below is crystalline Ba9Sm6Cl34 at its relaxed geometry, with properties calculated at the GGA-PBE level.

Lattice parameters (Å, degrees): 11.308 11.308 13.417 114.92 114.92 90.00
Fractional positions:
Ba  0.500  0.500  0.000
Ba  0.794  0.341  0.316
Ba  0.341  0.521  0.316
Ba  0.974  0.794  0.316
Ba  0.521  0.974  0.316
Ba  0.479  0.026  0.684
Ba  0.026  0.206  0.684
Ba  0.659  0.479  0.684
Ba  0.206  0.659  0.684
Cl  0.722  0.141  0.000
Cl  0.141  0.278  0.000
Cl  0.859  0.722  0.000
Cl  0.278  0.859  0.000
Cl  0.576  0.076  0.152
Cl  0.076  0.576  0.152
Cl  0.492  0.366  0.160
Cl  0.794  0.492  0.160
Cl  0.366  0.668  0.160
Cl  0.668  0.794  0.160
Cl  0.910  0.051  0.241
Cl  0.330  0.190  0.241
Cl  0.051  0.330  0.241
Cl  0.190  0.910  0.241
Cl  0.652  0.549  0.481
Cl  0.932  0.652  0.481
Cl  0.549  0.829  0.481
Cl  0.829  0.932  0.481
Cl  0.750  0.250  0.500
Cl  0.250  0.750  0.500
Cl  0.171  0.068  0.519
Cl  0.451  0.171  0.519
Cl  0.068  0.348  0.519
Cl  0.348  0.451  0.519
Cl  0.810  0.090  0.759
Cl  0.949  0.670  0.759
Cl  0.670  0.810  0.759
Cl  0.090  0.949  0.759
Cl  0.332  0.206  0.840
Cl  0.634  0.332  0.840
Cl  0.206  0.508  0.840
Cl  0.508  0.634  0.840
Cl  0.924  0.424  0.848
Cl  0.424  0.924  0.848
Sm  0.319  0.106  0.000
Sm  0.894  0.319  0.000
Sm  0.106  0.681  0.000
Sm  0.681  0.894  0.000
Sm  0.186  0.186  0.372
Sm  0.814  0.814  0.628

## Properties
Calculated total energy = -4.589 eV per atom
M_tot = 2.0 μB per cell


Record 8
Below is crystalline Dy2AlCoOs at its relaxed geometry, with properties calculated at the GGA-PBE level.

Lattice parameters (Å, degrees): 5.491 5.491 5.491 136.40 77.80 119.15
Fractional positions:
Al  0.004  0.004  0.000
Co  0.275  0.775  0.500
Dy  0.713  0.506  0.207
Dy  0.300  0.506  0.793
Os  0.709  0.209  0.500

## Properties
Calculated total energy = -6.669 eV per atom
M_tot = 0.0 μB per cell